--- P ---
# Ac4AgAu2

Crystalline Ac4AgAu2 at its relaxed geometry (PBE, the Alexandria database).

```
7
Lattice="1.2536 -4.6144 -4.7677 -1.1879 -3.0742 5.8935 -5.4306 3.6300 -1.7107" Properties=species:S:1:pos:R:3 pbc="T T T"
Ag 0.0000 0.0000 0.0000
Ac -2.6824 -2.0293 -0.2924
Au 0.0329 -3.8443 0.5629
Ac 0.6268 -2.3072 -2.3838
Ac -0.5939 -1.5371 2.9468
Ac -2.7153 1.8150 -0.8554
Au -2.0885 -0.4922 -3.2392
```

---

--- Q ---
# Ac4AgAu2

Crystalline Ac4AgAu2 at its relaxed geometry (PBE, the Alexandria database).

```
14
Lattice="8.6488 -1.2069 -0.1486 -1.8270 8.5394 0.1471 -3.2994 -3.7700 7.1658" Properties=species:S:1:pos:R:3 pbc="T T T"
Au 3.8957 1.5053 1.7535
Au -2.0788 0.2241 5.4112
Au 2.9822 5.7751 1.8275
Ac 6.5738 -0.2511 2.1236
Ac 2.1450 -1.0205 2.1800
Ac 4.1768 -2.9111 4.8367
Ac 1.2176 3.2618 1.3842
Ag -3.2948 -3.7647 7.1658
Ac 5.6463 4.0313 1.3271
Ac -0.1337 -2.3204 5.7803
Au 2.2457 -0.3793 5.3364
Ac 0.3146 2.1523 5.8370
Ac 4.6251 1.5617 4.8927
Ag -0.8626 4.2122 3.6561
```

---

Q: Which of them is the most stable? A: P.

---

--- P ---
# AcAgAu2

Crystalline AcAgAu2 at its relaxed geometry (PBE, the Alexandria database).

```
4
Lattice="-0.3021 3.7754 -1.8180 -2.4335 1.6638 3.8595 4.1883 1.3306 2.0673" Properties=species:S:1:pos:R:3 pbc="T T T"
Ac 0.7264 3.3849 2.0544
Ag -0.1510 1.8877 -0.9090
Au 2.0942 0.6653 1.0336
Au -1.2168 0.8319 1.9298
```

---

--- Q ---
# AcAgAu2

Crystalline AcAgAu2 at its relaxed geometry (PBE, the Alexandria database).

```
4
Lattice="4.8265 0.0147 -0.0073 -0.0098 5.6484 -0.5754 -2.4033 -3.2467 3.9975" Properties=species:S:1:pos:R:3 pbc="T T T"
Au 2.4074 2.9861 1.3044
Ac 2.4132 0.0074 -0.0036
Au 0.0060 -0.5697 2.1105
Ag -0.0049 2.8242 -0.2877
```

---

Q: Which of them is the most stable? A: Q.

---

--- P ---
# AcAgAu2

Crystalline AcAgAu2 at its relaxed geometry (PBE, the Alexandria database).

```
4
Lattice="3.7550 0.0000 0.0000 0.0000 3.7550 0.0000 0.0000 0.0000 6.7795" Properties=species:S:1:pos:R:3 pbc="T T T"
Au 0.0000 0.0000 1.4412
Ac 1.8775 1.8775 3.3898
Ag 1.8775 1.8775 0.0000
Au 0.0000 0.0000 5.3383
```

---

--- Q ---
# AcAgAu2

Crystalline AcAgAu2 at its relaxed geometry (PBE, the Alexandria database).

```
16
Lattice="-0.3944 -1.1098 -4.5102 7.0791 -3.0113 0.1219 -4.1538 -9.6540 2.7387" Properties=species:S:1:pos:R:3 pbc="T T T"
Ag -2.4826 -6.7235 -1.7419
Ac 2.1449 -8.7931 0.7716
Au 2.6652 -11.7174 -0.9632
Ag 5.0135 -7.0517 0.0923
Au 2.9676 -7.4327 -2.0439
Ac 0.3861 -4.9821 -2.4212
Au 1.3885 -11.8327 1.5857
Au -0.1035 -8.4201 -1.5324
Ac -2.1253 -8.9855 1.1924
Au -0.4367 -6.3424 0.3944
Au 1.1425 -1.9424 -3.2353
Ac 4.6563 -4.7896 -2.8420
Au -0.1342 -2.0578 -0.6864
Au 2.6345 -5.3551 -0.1172
Ag -0.2119 -11.1782 -0.8443
Ag 2.7428 -2.5970 -0.8053
```

---

Q: Which of them is the most stable? A: Q.

---

--- P ---
# Ac3AgAu3

Crystalline Ac3AgAu3 at its relaxed geometry (PBE, the Alexandria database).

```
7
Lattice="4.5192 0.0000 -0.9859 -0.2108 4.1594 -0.9662 0.0294 0.3561 10.9855" Properties=species:S:1:pos:R:3 pbc="T T T"
Ac 0.0195 0.0218 0.0895
Au 3.7751 1.6905 6.4536
Ac 1.2753 3.6198 5.8457
Au 2.4341 2.3919 0.3068
Ac 3.0484 0.8799 3.1226
Ag 1.8927 2.1113 8.6757
Au 0.5686 2.8315 2.6062
```

---

--- Q ---
# Ac3AgAu3

Crystalline Ac3AgAu3 at its relaxed geometry (PBE, the Alexandria database).

```
14
Lattice="-4.0696 1.9263 -4.3911 -2.6193 -8.9224 -1.4866 -4.4797 5.2119 6.4381" Properties=species:S:1:pos:R:3 pbc="T T T"
Ac -4.1824 -1.5611 -3.5645
Ac -6.9862 -0.2231 4.1248
Ac -4.1728 3.6591 3.2205
Ac -3.4719 -0.4898 0.7509
Au -5.7429 -2.2727 2.0734
Ac -6.9958 -5.4433 -2.6602
Ag -4.2568 -3.7294 0.0571
Au -6.2391 4.7020 1.0892
Au -5.4257 0.4885 -1.5131
Au -2.0981 -2.4293 -1.3731
Ag -6.9118 1.9452 0.5032
Au -4.9295 -6.4862 -0.5289
Au -9.0705 0.6451 1.9335
Ac -7.6967 -1.2944 -0.1906
```

---

Q: Which of them is the most stable? A: P.

---

--- P ---
# Ac3AgAu2

Crystalline Ac3AgAu2 at its relaxed geometry (PBE, the Alexandria database).

```
6
Lattice="-2.7222 -2.2916 -2.2736 2.9123 -3.8704 0.4141 -3.2115 -1.4313 9.2093" Properties=species:S:1:pos:R:3 pbc="T T T"
Ac 0.0950 -3.0810 -0.9297
Au -3.3061 -4.9978 5.0746
Ac -3.1077 -1.7515 5.4863
Ag 0.0000 0.0000 0.0000
Ac -2.8260 -1.9714 1.4494
Au 0.2847 -2.5954 2.2752
```

---

--- Q ---
# Ac3AgAu2

Crystalline Ac3AgAu2 at its relaxed geometry (PBE, the Alexandria database).

```
6
Lattice="-2.0985 -0.9948 3.1620 -0.8325 -3.4642 -1.6424 9.6540 -4.6624 4.9403" Properties=species:S:1:pos:R:3 pbc="T T T"
Ac 0.0000 0.0000 0.0000
Ac 6.4898 -3.1342 3.3211
Ac 3.1641 -1.5281 1.6192
Au 0.1579 -3.0135 1.5906
Ag 3.3615 -4.5607 3.2299
Au 6.5650 -6.1078 4.8693
```

---

Q: Which of them is the most stable? A: Q.

---

--- P ---
# Ac2Ag2Au3

Crystalline Ac2Ag2Au3 at its relaxed geometry (PBE, the Alexandria database).

```
14
Lattice="4.2578 0.0000 -1.0151 0.0000 8.0772 0.0000 0.2323 0.0000 10.4115" Properties=species:S:1:pos:R:3 pbc="T T T"
Ag 3.0317 4.4684 3.2792
Ag 1.4584 3.6088 6.1172
Ac 4.1975 2.0193 8.1693
Au 2.4171 3.4602 0.7014
Ag 1.4584 0.4298 6.1172
Ac 0.2925 6.0579 1.2271
Ac 3.7492 6.0579 6.2886
Au 2.4171 0.5784 0.7014
Ag 3.0317 7.6474 3.2792
Ac 0.7409 2.0193 3.1078
Au 3.4237 2.0193 4.9232
Au 2.0730 4.6170 8.6950
Au 2.0730 7.4988 8.6950
Au 1.0664 6.0579 4.4731
```

---

--- Q ---
# Ac2Ag2Au3

Crystalline Ac2Ag2Au3 at its relaxed geometry (PBE, the Alexandria database).

```
7
Lattice="4.5577 0.0000 0.0000 -2.2788 5.4578 0.0508 0.0000 -2.4485 7.0311" Properties=species:S:1:pos:R:3 pbc="T T T"
Ac 2.2788 3.3948 1.7698
Ag 0.0000 1.1490 1.5174
Au 0.0000 2.8258 4.0641
Ag 2.2788 1.8602 5.5645
Ac 0.0000 -0.3856 5.3122
Au 2.2788 0.1834 3.0178
Au 2.2788 0.0000 0.0000
```

---

Q: Which of them is the most stable? A: P.